This record from Alexandria via LeMat-Bulk describes Ho5Zn4Pt after structural relaxation. The functional is GGA-PBE.

Formation energy from the elements ... -0.5409 eV/atom
Size of the total moment ... 0.0000 μB/atom

Lattice parameters (Å, degrees): 3.556 3.556 17.461 90.00 90.00 90.00
Space group P4/mmm (No. 123)
Symmetry-distinct sites (fractional):
Ho 0.000 0.000 0.000 [1 per cell]
Ho 0.000 0.000 0.203 [2 per cell]
Ho 0.000 0.000 0.405 [2 per cell]
Zn 0.500 0.500 0.102 [2 per cell]
Zn 0.500 0.500 0.301 [2 per cell]
Pt 0.500 0.500 0.500 [1 per cell]

=====

This record from Alexandria via LeMat-Bulk describes SmSiGe2 after structural relaxation. The functional is GGA-PBE.

Size of the total moment ... 0.0000 μB/atom
Energy above the most stable polymorph in this dataset ... 695 meV/atom
ΔE_f (raw) ... 387.0 meV/atom

Lattice parameters (Å, degrees): 4.9875 4.9875 18.7030 90.00 90.00 120.00
Space group R-3m (No. 166, hexagonal axes)
Symmetry-distinct sites (fractional):
Sm 0.0000 0.0000 0.0000 [3 per cell]
Si 0.0000 0.0000 0.5000 [3 per cell]
Ge 0.0000 0.0000 0.3788 [6 per cell]

=====

This record from Alexandria via LeMat-Bulk describes Mg2InH after structural relaxation. The functional is GGA-PBE.

Size of the total moment ... 0.0000 μB/atom
Energy above the most stable polymorph in this dataset ... 89 meV/atom

Lattice parameters (Å, degrees): 6.256 5.351 8.774 90.00 96.63 90.00
Space group P2/c (No. 13)
Symmetry-distinct sites (fractional):
Mg 0.069 0.246 0.086 [4 per cell]
Mg 0.250 0.250 0.761 [4 per cell]
In 0.431 0.248 0.415 [4 per cell]
H 0.009 0.393 0.623 [4 per cell]

=====

This record from Alexandria via LeMat-Bulk describes Ho2Er2Tm15 after structural relaxation. The functional is GGA-PBE.

Formation energy from the elements ... 0.2941 eV/atom
Size of the total moment ... 0.0000 μB/atom

Lattice parameters (Å, degrees): 10.9937 10.9937 17.3624 90.00 90.00 120.00
Space group R-3m (No. 166, hexagonal axes)
Symmetry-distinct sites (fractional):
Ho 0.0000 0.0000 0.1771 [6 per cell]
Er 0.0000 0.0000 0.4001 [6 per cell]
Tm 0.0000 0.3009 0.5000 [18 per cell]
Tm 0.0000 0.5000 0.0000 [9 per cell]
Tm 0.0101 0.5051 0.6374 [18 per cell]

=====

This record from Alexandria via LeMat-Bulk describes PmSmGa after structural relaxation. The functional is GGA-PBE.

Formation energy from the elements ... -0.3382 eV/atom
Size of the total moment ... 0.0000 μB/atom
Energy above the most stable polymorph in this dataset ... 57 meV/atom

Lattice parameters (Å, degrees): 3.547 3.547 13.459 90.00 90.00 90.00
Space group I4mm (No. 107)
Symmetry-distinct sites (fractional):
Pm 0.000 0.000 0.000 [2 per cell]
Sm 0.000 0.000 0.287 [2 per cell]
Ga 0.000 0.000 0.645 [2 per cell]

=====

This record from Alexandria via LeMat-Bulk describes BaNb2Ag2O7 after structural relaxation. The functional is GGA-PBE.

Size of the total moment ... 0.0000 μB/atom
ΔE_f (raw) ... -2017.4 meV/atom

Lattice parameters (Å, degrees): 4.024 21.871 4.135 90.00 90.00 90.00
Space group Imm2 (No. 44)
Symmetry-distinct sites (fractional):
Ba 0.000 0.000 0.000 [2 per cell]
Nb 0.000 0.402 0.018 [4 per cell]
Ag 0.000 0.231 0.651 [4 per cell]
O 0.000 0.091 0.476 [4 per cell]
O 0.000 0.314 0.980 [4 per cell]
O 0.000 0.409 0.474 [4 per cell]
O 0.000 0.500 0.978 [2 per cell]

=====

This record from Alexandria via LeMat-Bulk describes NiPbAu2 after structural relaxation. The functional is GGA-PBE.

Formation energy from the elements ... 0.0959 eV/atom
Size of the total moment ... 0.0000 μB/atom

Lattice parameters (Å, degrees): 3.208 4.457 10.576 90.00 90.00 90.00
Space group Immm (No. 71)
Symmetry-distinct sites (fractional):
Ni 0.000 0.000 0.000 [2 per cell]
Pb 0.000 0.000 0.500 [2 per cell]
Au 0.000 0.500 0.294 [4 per cell]

=====

This record from Alexandria via LeMat-Bulk describes HfMn3Os after structural relaxation. The functional is GGA-PBE.

Formation energy from the elements ... 2.2583 eV/atom
Size of the total moment ... 0.1280 μB/atom
Energy above the most stable polymorph in this dataset ... 1206 meV/atom

Lattice parameters (Å, degrees): 4.344 4.344 4.344 90.00 90.00 90.00
Space group Pm-3m (No. 221)
Symmetry-distinct sites (fractional):
Hf 0.000 0.000 0.000 [1 per cell]
Mn 0.000 0.000 0.500 [3 per cell]
Os 0.500 0.500 0.500 [1 per cell]

=====

This record from Alexandria via LeMat-Bulk describes LiIn4Te after structural relaxation. The functional is GGA-PBE.

Size of the total moment ... 0.0000 μB/atom
ΔE_f (raw) ... 19.4 meV/atom

Lattice parameters (Å, degrees): 8.857 8.857 8.857 90.00 90.00 90.00
Space group F-43m (No. 216)
Symmetry-distinct sites (fractional):
Li 0.000 0.000 0.000 [4 per cell]
In 0.125 0.125 0.375 [16 per cell]
Te 0.250 0.250 0.750 [4 per cell]

=====

This record from Alexandria via LeMat-Bulk describes LiTlIn2B after structural relaxation. The functional is GGA-PBE.

Formation energy from the elements ... 0.3571 eV/atom
Size of the total moment ... 0.0000 μB/atom

Lattice parameters (Å, degrees): 4.823 4.823 4.686 90.00 90.00 90.00
Space group P4/mmm (No. 123)
Symmetry-distinct sites (fractional):
Li 0.000 0.000 0.000 [1 per cell]
Tl 0.500 0.500 0.000 [1 per cell]
In 0.000 0.500 0.500 [2 per cell]
B 0.000 0.000 0.500 [1 per cell]

=====

This record from Alexandria via LeMat-Bulk describes AlIrO after structural relaxation. The functional is GGA-PBE.

Size of the total moment ... 0.0000 μB/atom
ΔE_f (raw) ... -1392.9 meV/atom

Lattice parameters (Å, degrees): 3.493 3.493 7.027 90.00 90.00 90.00
Space group P4/nmm (No. 129, origin choice 2)
Symmetry-distinct sites (fractional):
Al 0.250 0.250 0.112 [2 per cell]
Ir 0.250 0.250 0.458 [2 per cell]
O 0.250 0.750 0.000 [2 per cell]

=====

no.,calculated total energy (eV per cell)
1,-39.43
2,-53.49
3,-37.00
4,-239.30
5,-27.02
6,-173.36
7,-31.32
8,-37.40
9,-63.57
10,-14.65
11,-43.48